Below is a relaxed structure of ScIn2NiPb, with properties calculated at the GGA-PBE level.

Output
Its density of states at the Fermi level is 0.69 states/eV per atom. The value obtained for the total magnetization is 0.00 μB/f.u. The energy of formation from the pure elements comes out at -0.12 eV per atom.

Cell lengths 4.945, 4.945, 4.951 Å; angles 90.00, 90.00, 90.00 degrees
Element x y z (fractional)
Sc 0.000 0.000 0.000
In 0.000 0.500 0.500
In 0.500 0.000 0.500
Ni 0.000 0.000 0.500
Pb 0.500 0.500 0.000